[1]
# KSbPb2Se4

A relaxed KSbPb2Se4 crystal (PBE, Alexandria via LeMat-Bulk).

a b c (Å): 9.0587 9.0428 8.8705
angles (deg): 119.48 119.47 90.95
Atoms (fractional coordinates):
K 0.9952 0.5067 0.9932
K 0.9951 0.5028 0.5054
Sb 0.4455 0.4796 0.4704
Sb 0.9711 0.0202 0.9700
Pb 0.5011 0.9893 0.0006
Pb 0.5037 0.9970 0.4926
Pb 0.9597 0.0042 0.4720
Pb 0.4969 0.5266 0.9902
Se 0.2879 0.7495 0.0183
Se 0.7401 0.2174 0.4781
Se 0.2873 0.7192 0.5042
Se 0.7683 0.2160 0.9905
Se 0.7404 0.7597 0.0114
Se 0.7804 0.7956 0.5448
Se 0.2843 0.2752 0.5220
Se 0.2431 0.2409 0.0362

Computed properties:
Volume = 32.3 Å³ per atom
Uncorrected energy = -62.98 eV per cell
Raw formation energy = -614 meV/atom

---

[2]
# U2Ru3Rh3

A relaxed U2Ru3Rh3 crystal (PBE, Alexandria via LeMat-Bulk).

a b c (Å): 4.0689 4.0043 7.8959
angles (deg): 90.00 90.00 90.00
Atoms (fractional coordinates):
U 0.0000 0.0000 0.7482
U 0.0000 0.0000 0.2518
Ru 0.5000 0.0000 0.5000
Ru 0.0000 0.5000 0.0000
Ru 0.0000 0.5000 0.5000
Rh 0.5000 0.5000 0.7495
Rh 0.5000 0.5000 0.2505
Rh 0.5000 0.0000 0.0000

Computed properties:
ΔH_f (0 K) = -0.51 eV per atom
Volume = 16.1 Å³ per atom
Uncorrected energy = -76.57 eV per cell

---

[3]
# Ag3HgPd3

A relaxed Ag3HgPd3 crystal (PBE, Alexandria via LeMat-Bulk).

a b c (Å): 4.7897 7.6176 7.6176
angles (deg): 120.00 90.00 90.00
Atoms (fractional coordinates):
Ag 0.7500 0.6268 0.5336
Ag 0.7500 0.4664 0.0932
Ag 0.7500 0.9068 0.3732
Ag 0.2500 0.3732 0.4664
Ag 0.2500 0.5336 0.9068
Ag 0.2500 0.0932 0.6268
Hg 0.2500 0.6667 0.3333
Hg 0.7500 0.3333 0.6667
Pd 0.2500 0.8128 0.7670
Pd 0.2500 0.2330 0.0459
Pd 0.2500 0.9541 0.1872
Pd 0.7500 0.1872 0.2330
Pd 0.7500 0.7670 0.9541
Pd 0.7500 0.0459 0.8128

Computed properties:
ΔH_f (0 K) = -0.03 eV per atom
Volume = 17.2 Å³ per atom
Uncorrected energy = -49.25 eV per cell

---

[4]
# Th2Ag2Pt15

A relaxed Th2Ag2Pt15 crystal (PBE, Alexandria via LeMat-Bulk).

a b c (Å): 7.0229 7.0229 7.0229
angles (deg): 83.35 83.35 83.35
Atoms (fractional coordinates):
Th 0.3438 0.3438 0.3438
Th 0.6562 0.6562 0.6562
Ag 0.0998 0.0998 0.0998
Ag 0.9002 0.9002 0.9002
Pt 0.5000 0.0000 0.0000
Pt 0.0000 0.0000 0.5000
Pt 0.0000 0.5000 0.0000
Pt 0.0000 0.6807 0.3193
Pt 0.6807 0.3193 0.0000
Pt 0.3193 0.0000 0.6807
Pt 0.3193 0.6807 0.0000
Pt 0.6807 0.0000 0.3193
Pt 0.0000 0.3193 0.6807
Pt 0.1653 0.6566 0.6566
Pt 0.6566 0.6566 0.1653
Pt 0.6566 0.1653 0.6566
Pt 0.8347 0.3434 0.3434
Pt 0.3434 0.3434 0.8347
Pt 0.3434 0.8347 0.3434

Computed properties:
ΔH_f (0 K) = -0.50 eV per atom
Volume = 17.9 Å³ per atom
Uncorrected energy = -120.74 eV per cell

---

[5]
# AcTbDyIn

A relaxed AcTbDyIn crystal (PBE, Alexandria via LeMat-Bulk).

a b c (Å): 5.6082 5.6082 5.6082
angles (deg): 60.00 60.00 60.00
Atoms (fractional coordinates):
Ac 0.7500 0.7500 0.7500
In 0.2500 0.2500 0.2500
Tb 0.0000 0.0000 0.0000
Dy 0.5000 0.5000 0.5000

Computed properties:
ΔH_f (0 K) = -0.04 eV per atom
Volume = 31.2 Å³ per atom
Uncorrected energy = -16.22 eV per cell

---

[6]
# SrMgCd2Hg

A relaxed SrMgCd2Hg crystal (PBE, Alexandria via LeMat-Bulk).

a b c (Å): 4.5496 4.5553 7.3327
angles (deg): 108.10 108.07 90.00
Atoms (fractional coordinates):
Sr 0.4388 0.4388 0.8776
Mg 0.1958 0.6958 0.3916
Cd 0.6906 0.1906 0.3811
Cd 0.0519 0.0519 0.1038
Hg 0.8351 0.8351 0.6702

Computed properties:
ΔH_f (0 K) = -0.30 eV per atom
Volume = 27.3 Å³ per atom
Uncorrected energy = -6.91 eV per cell

---

[7]
# TlSbSe2

A relaxed TlSbSe2 crystal (PBE, Alexandria via LeMat-Bulk).

a b c (Å): 4.9595 5.4668 3.6849
angles (deg): 90.00 90.00 90.00
Atoms (fractional coordinates):
Sb 0.0000 0.5000 0.5000
Se 0.0000 0.0000 0.0000
Se 0.5000 0.5000 0.0000
Tl 0.5000 0.0000 0.5000

Computed properties:
Volume = 25.0 Å³ per atom
Uncorrected energy = -13.39 eV per cell
Raw formation energy = 16 meV/atom

---

[8]
# TbBiPd14

A relaxed TbBiPd14 crystal (PBE, Alexandria via LeMat-Bulk).

a b c (Å): 5.7607 5.7607 7.9600
angles (deg): 90.00 90.00 89.99
Atoms (fractional coordinates):
Tb 0.8750 0.8750 0.5000
Bi 0.3750 0.3750 0.5000
Pd 0.8750 0.8750 0.0000
Pd 0.3750 0.3750 0.0000
Pd 0.8750 0.3750 0.5000
Pd 0.8750 0.3750 0.0000
Pd 0.3750 0.8750 0.5000
Pd 0.3750 0.8750 0.0000
Pd 0.6252 0.1248 0.2416
Pd 0.6252 0.1248 0.7584
Pd 0.1248 0.6252 0.2416
Pd 0.1248 0.6252 0.7584
Pd 0.6252 0.6252 0.2416
Pd 0.6252 0.6252 0.7584
Pd 0.1248 0.1248 0.2416
Pd 0.1248 0.1248 0.7584

Computed properties:
ΔH_f (0 K) = -0.26 eV per atom
Volume = 16.5 Å³ per atom
Uncorrected energy = -85.41 eV per cell

---

[9]
# LaNd5Dy2Y

A relaxed LaNd5Dy2Y crystal (PBE, Alexandria via LeMat-Bulk).

a b c (Å): 5.7429 10.5550 10.7557
angles (deg): 90.00 90.00 105.79
Atoms (fractional coordinates):
La 0.5843 0.1685 0.9529
La 0.4157 0.8315 0.4529
Nd 0.3860 0.7720 0.0229
Nd 0.7190 0.4380 0.8133
Nd 0.4805 0.9610 0.7410
Nd 0.2967 0.5934 0.7072
Nd 0.9828 0.9656 0.5234
Nd 0.6140 0.2280 0.5229
Nd 0.2810 0.5620 0.3133
Nd 0.5195 0.0390 0.2410
Nd 0.7033 0.4066 0.2072
Nd 0.0172 0.0344 0.0234
Dy 0.8841 0.7682 0.8195
Dy 0.1135 0.2270 0.7330
Dy 0.1159 0.2318 0.3195
Dy 0.8865 0.7730 0.2330
Y 0.7997 0.5994 0.5108
Y 0.2003 0.4006 0.0108

Computed properties:
ΔH_f (0 K) = 0.15 eV per atom
Volume = 34.9 Å³ per atom
Uncorrected energy = -86.25 eV per cell

---

[10]
# Tb2SmErBi5

A relaxed Tb2SmErBi5 crystal (PBE, Alexandria via LeMat-Bulk).

a b c (Å): 5.5064 5.5064 11.8437
angles (deg): 90.00 90.00 90.00
Atoms (fractional coordinates):
Tb 0.5000 0.5000 0.2714
Tb 0.5000 0.5000 0.7286
Sm 0.0000 0.0000 0.5000
Er 0.0000 0.0000 0.0000
Bi 0.0000 0.5000 0.5000
Bi 0.5000 0.0000 0.5000
Bi 0.0000 0.0000 0.7568
Bi 0.0000 0.0000 0.2432
Bi 0.5000 0.5000 0.0000

Computed properties:
ΔH_f (0 K) = 0.09 eV per atom
Volume = 39.9 Å³ per atom
Uncorrected energy = -37.17 eV per cell

---

[11]
# PmNd6Er3Tm2

A relaxed PmNd6Er3Tm2 crystal (PBE, Alexandria via LeMat-Bulk).

a b c (Å): 6.2583 6.2583 11.8220
angles (deg): 95.05 95.05 119.99
Atoms (fractional coordinates):
Pm 0.0000 0.0000 0.0000
Nd 0.9161 0.5820 0.7488
Nd 0.7499 0.7499 0.2510
Nd 0.0839 0.4180 0.2512
Nd 0.5820 0.9161 0.7488
Nd 0.2501 0.2501 0.7490
Nd 0.4180 0.0839 0.2512
Er 0.1668 0.8332 0.5000
Er 0.8332 0.1668 0.5000
Er 0.5000 0.5000 0.5000
Tm 0.3334 0.6666 0.0000
Tm 0.6666 0.3334 0.0000

Computed properties:
ΔH_f (0 K) = 0.01 eV per atom
Volume = 32.9 Å³ per atom
Uncorrected energy = -55.82 eV per cell

---

[12]
# Co3AgGe

A relaxed Co3AgGe crystal (PBE, Alexandria via LeMat-Bulk).

a b c (Å): 4.3522 4.3522 4.3522
angles (deg): 90.00 90.00 90.00
Atoms (fractional coordinates):
Ge 0.0000 0.0000 0.0000
Co 0.0000 0.5000 0.0000
Co 0.0000 0.0000 0.5000
Co 0.5000 0.0000 0.0000
Ag 0.5000 0.5000 0.5000

Computed properties:
ΔH_f (0 K) = 0.85 eV per atom
Volume = 16.5 Å³ per atom
Uncorrected energy = -24.55 eV per cell